# PBE+U Te6WO12, optimized geometry
# - Electronic total energy: -5.168 eV per atom
# - Calculated volume: 17.4 Å³ per atom
data_Te6WO12
_chemical_formula_sum 'Te6 W1 O12'
_space_group_name_H-M_alt 'P 1'
_space_group_IT_number 1
_cell_length_a 8.125
_cell_length_b 8.151
_cell_length_c 8.119
_cell_angle_alpha 113.87
_cell_angle_beta 113.61
_cell_angle_gamma 114.15
loop_
_space_group_symop_operation_xyz
'x,y,z'
loop_
_atom_site_label
_atom_site_type_symbol
_atom_site_fract_x
_atom_site_fract_y
_atom_site_fract_z
Te1 Te 0.209 0.503 0.145
Te2 Te 0.504 0.144 0.211
O1 O 0.292 0.905 0.813
O2 O 0.188 0.707 0.095
Te3 Te 0.145 0.211 0.504
O3 O 0.905 0.813 0.292
O4 O 0.605 0.411 0.220
O5 O 0.588 0.778 0.396
O6 O 0.395 0.589 0.780
Te4 Te 0.855 0.789 0.496
O7 O 0.218 0.606 0.412
O8 O 0.812 0.293 0.905
O9 O 0.782 0.394 0.588
Te5 Te 0.791 0.497 0.855
O10 O 0.412 0.222 0.604
O11 O 0.708 0.095 0.187
O12 O 0.095 0.187 0.708
W1 W 0.000 0.000 0.000
Te6 Te 0.496 0.856 0.789